This record from Alexandria describes a geometry-optimized RbTlCuCl5 structure. The functional is PBE-GGA.

Structure (POSCAR):
```
RbTlCuCl5
1.0
-5.463 3.544 -3.636
-3.085 -2.930 6.125
5.863 7.485 3.536
Rb Tl Cu Cl
2 2 2 10
Cartesian
-2.435 1.162 3.661
-0.250 6.937 2.364
2.931 3.742 1.768
0.000 0.000 0.000
-3.266 3.425 0.248
0.581 4.673 5.777
-1.790 -0.594 6.308
-0.895 8.692 -0.283
-5.175 3.029 -0.957
2.490 5.070 6.982
-1.815 5.066 -0.424
-0.870 3.032 6.449
-3.599 4.002 2.471
0.914 4.096 3.554
-2.362 1.292 0.372
-0.323 6.807 5.653
```

Computed properties:
DOS(E_F), states/eV/f.u.: 6.69
Formation energy (no corrections), eV/atom: -0.986



This record from Alexandria describes a geometry-optimized Rb3TlCu2Cl9 structure. The functional is PBE-GGA.

Structure (POSCAR):
```
Rb3TlCu2Cl9
1.0
-5.375 4.415 1.772
-0.421 -6.986 1.591
3.852 1.549 7.824
Rb Tl Cu Cl
3 1 2 9
Cartesian
0.539 -2.136 6.955
0.000 0.000 0.000
-2.483 1.113 4.232
1.926 0.775 3.912
-1.495 -2.954 2.824
-0.448 1.932 8.364
-1.887 3.471 7.061
-2.087 0.157 7.816
0.663 1.377 6.221
-2.606 -2.399 4.966
0.143 -1.179 3.371
-0.057 -4.493 4.126
-2.687 2.207 0.886
-0.211 -3.493 0.795
-2.898 -1.286 1.681
```

Computed properties:
DOS(E_F), states/eV/f.u.: 5.07
Formation energy (no corrections), eV/atom: -1.147



This record from Alexandria describes a geometry-optimized RbTlCuCl3 structure. The functional is PBE-GGA.

Structure (POSCAR):
```
RbTlCuCl3
1.0
5.630 0.000 0.000
-2.815 8.233 -0.062
0.000 -2.492 8.297
Rb Tl Cu Cl
2 2 2 6
Cartesian
0.000 3.556 7.541
2.815 2.186 0.693
2.815 0.898 4.731
0.000 4.843 3.504
2.815 7.537 2.026
0.000 -1.795 6.209
2.815 5.453 1.318
2.815 4.331 5.531
0.000 7.517 2.148
0.000 1.411 2.704
2.815 -1.776 6.087
0.000 0.289 6.917
```

Computed properties:
DOS(E_F), states/eV/f.u.: 0.00
Formation energy (no corrections), eV/atom: -1.085



This record from Alexandria describes a geometry-optimized RbTlCu2Cl5 structure. The functional is PBE-GGA.

Structure (POSCAR):
```
RbTlCu2Cl5
1.0
-2.946 0.531 -3.689
-2.059 -4.151 1.047
-6.749 4.885 6.093
Rb Tl Cu Cl
1 1 2 5
Cartesian
-3.374 2.442 3.046
0.000 0.000 0.000
-4.250 -0.545 0.257
-7.504 1.810 3.194
-2.528 -0.991 1.876
-2.971 1.350 -0.492
-6.281 1.725 5.264
-6.724 4.066 2.896
-5.877 0.632 1.725
```

Computed properties:
DOS(E_F), states/eV/f.u.: 3.24
Formation energy (no corrections), eV/atom: -0.936



This record from Alexandria describes a geometry-optimized RbTl3Cu2Cl6 structure. The functional is PBE-GGA.

Structure (POSCAR):
```
RbTl3Cu2Cl6
1.0
-1.315 -5.170 6.150
7.098 -0.135 -3.985
3.026 5.423 5.206
Rb Tl Cu Cl
1 3 2 6
Cartesian
1.513 2.712 2.603
6.086 1.399 2.477
2.723 -1.281 4.894
0.000 0.000 0.000
3.775 0.604 6.704
5.035 -0.486 0.668
5.794 -2.034 2.074
3.063 0.472 1.051
6.415 0.408 -0.830
5.746 -0.353 6.320
3.015 2.152 5.298
2.394 -0.290 8.202
```

Computed properties:
DOS(E_F), states/eV/f.u.: 0.00
Formation energy (no corrections), eV/atom: -0.885



This record from Alexandria describes a geometry-optimized RbTl2CuCl4 structure. The functional is PBE-GGA.

Structure (POSCAR):
```
RbTl2CuCl4
1.0
9.141 0.613 -0.217
0.607 9.143 -0.216
-4.955 -4.959 7.134
Rb Tl Cu Cl
2 4 2 8
Cartesian
0.303 4.571 -0.108
6.967 2.705 3.242
4.571 0.307 -0.108
2.093 -2.173 3.459
-2.478 -2.479 3.567
4.874 4.878 -0.216
2.396 2.399 3.351
4.186 -4.346 6.917
2.130 7.632 -0.210
3.908 0.876 3.344
0.885 3.921 3.357
2.662 -2.835 6.911
7.031 7.102 0.041
5.048 5.117 2.877
-0.256 -0.320 3.824
-2.239 -2.304 6.660
```

Computed properties:
DOS(E_F), states/eV/f.u.: 0.00
Formation energy (no corrections), eV/atom: -1.037



V (Å³/f.u.)
247.2 395.2 191.9 232.9 465.2 287.6